1.
First-principles (PBE) data for PmZnGa2Au2 after structural relaxation, as listed in Alexandria via LeMat-Bulk.

DFT total energy   -3.609 eV per atom
Mass density   10.44 g cm⁻³
Total moment   0.00 μB per formula unit
ΔH_f (0 K)   -11.6 kcal/mol of atoms

Cell: 4.4350 4.4350 6.9466 Å, 90.00 90.00 120.00°
With the nearest neighbours (Å) after each atom.
Space group P-3m1 (No. 164)
Symmetry-distinct sites (fractional):
1 Pm 0.0000 0.0000 0.0000  6 Ga 3.17, 6 Au 3.34, 2 Zn 3.47
2 Zn 0.0000 0.0000 0.5000  6 Au 2.89, 6 Ga 3.02
3 Ga 0.3333 0.6667 0.7305  3 Au 2.57
4 Au 0.3333 0.6667 0.3086  3 Ga 2.57

2.
First-principles (PBE) data for Pm2ZnGa4Au2 after structural relaxation, as listed in Alexandria via LeMat-Bulk.

DFT total energy   -3.773 eV per atom
Mass density   9.18 g cm⁻³
Total moment   0.00 μB per formula unit
ΔH_f (0 K)   -11.6 kcal/mol of atoms

Cell: 6.3802 6.3802 9.1414 Å, 90.00 90.00 90.00°
With the nearest neighbours (Å) after each atom.
Space group I4/mmm (No. 139)
Symmetry-distinct sites (fractional):
1 Pm 0.0000 0.5000 0.2500  4 Au 3.20, 8 Ga 3.23
2 Zn 0.0000 0.0000 0.0000  4 Ga 2.57, 2 Au 2.59
3 Ga 0.2149 0.2149 0.5000  1 Zn 2.57, 2 Ga 2.74, 2 Au 2.77
4 Au 0.0000 0.0000 0.2829  1 Zn 2.59, 4 Ga 2.77